1.
Here is an optimized crystal structure of ScCu2Ni from the Alexandria database. Energies are from PBE.

Cell and atoms, written as POSCAR:
```
ScCu2Ni
1.0
0.000 3.030 3.030
3.030 0.000 3.030
3.030 3.030 0.000
Sc Cu Ni
1 2 1
Cartesian
0.000 0.000 0.000
1.515 1.515 1.515
3.030 3.030 3.030
4.545 4.545 4.545
```

* DFT formation energy: -0.220 eV/atom
* uncorrected energy: -21.2 eV/cell



2.
Here is an optimized crystal structure of TmNiSn from the Alexandria database. Energies are from PBE.

Cell and atoms, written as POSCAR:
```
TmNiSn
1.0
7.038 0.000 0.000
0.000 4.430 0.000
0.000 0.000 7.661
Tm Ni Sn
4 4 4
Cartesian
0.094 1.107 1.526
3.425 3.322 5.357
3.613 1.107 2.304
6.944 3.322 6.134
1.452 3.322 3.157
2.067 1.107 6.987
4.971 3.322 0.673
5.586 1.107 4.504
1.313 1.107 4.482
2.206 3.322 0.652
4.832 1.107 7.009
5.725 3.322 3.179
```

* DFT formation energy: -0.668 eV/atom
* uncorrected energy: -65.0 eV/cell



3.
Here is an optimized crystal structure of DyZrTi2O8 from the Alexandria database. Energies are from PBE.

Cell and atoms, written as POSCAR:
```
DyZrTi2O8
1.0
-2.548 2.548 5.413
2.548 -2.548 5.413
2.548 2.548 -5.413
Dy Zr Ti O
1 1 2 8
Cartesian
0.000 0.000 0.000
2.548 0.000 2.707
0.000 0.000 5.413
0.000 2.548 2.707
1.214 0.932 -1.814
1.331 -0.835 4.430
1.714 1.217 0.984
1.617 -1.334 7.228
1.217 3.383 -0.984
1.334 1.617 3.599
0.835 1.331 6.397
0.932 3.883 1.814
```

* uncorrected energy: -105.0 eV/cell
* formation energy from raw total energies: -36.42 eV/f.u.